[1]
# SnTe2W (PBE-GGA, optimized geometry)
data_SnTe2W
_chemical_formula_sum 'Sn4 Te8 W4'
_cell_length_a 6.907
_cell_length_b 6.907
_cell_length_c 11.675
_cell_angle_alpha 90.00
_cell_angle_beta 90.00
_cell_angle_gamma 90.00
_space_group_name_H-M_alt 'I -4 2 d'
_space_group_IT_number 122
_space_group_name_Hall 'I -4 2bw'
loop_
_atom_site_label
_atom_site_type_symbol
_atom_site_fract_x
_atom_site_fract_y
_atom_site_fract_z
Sn1 Sn 0.000 0.000 0.000
Te1 Te 0.190 0.250 0.625
W1 W 0.000 0.000 0.500
# Total magnetization   0.000 μB/atom
# E_form (uncorrected)   0.678 eV per atom



[2]
# SnTe2W (PBE-GGA, optimized geometry)
data_SnTe2W
_chemical_formula_sum 'Sn3 Te6 W3'
_cell_length_a 3.4879
_cell_length_b 3.4879
_cell_length_c 30.7098
_cell_angle_alpha 90.00
_cell_angle_beta 90.00
_cell_angle_gamma 120.00
_space_group_name_H-M_alt 'R -3 m'
_space_group_IT_number 166
_space_group_name_Hall '-R 3 2"'
loop_
_atom_site_label
_atom_site_type_symbol
_atom_site_fract_x
_atom_site_fract_y
_atom_site_fract_z
Sn1 Sn 0.0000 0.0000 0.0000
Te1 Te 0.0000 0.0000 0.1056
W1 W 0.0000 0.0000 0.5000
# Total magnetization   0.000 μB/atom
# E_form (uncorrected)   0.190 eV per atom



[3]
# Sn3TeW (PBE-GGA, optimized geometry)
data_Sn3TeW
_chemical_formula_sum 'Sn3 Te1 W1'
_cell_length_a 5.334
_cell_length_b 5.334
_cell_length_c 5.334
_cell_angle_alpha 90.00
_cell_angle_beta 90.00
_cell_angle_gamma 90.00
_space_group_name_H-M_alt 'P m -3 m'
_space_group_IT_number 221
_space_group_name_Hall '-P 4 2 3'
loop_
_atom_site_label
_atom_site_type_symbol
_atom_site_fract_x
_atom_site_fract_y
_atom_site_fract_z
Sn1 Sn 0.000 0.000 0.500
Te1 Te 0.500 0.500 0.500
W1 W 0.000 0.000 0.000
# Relative energy among the computed polymorphs   0.0000 eV per atom
# Total magnetization   0.392 μB/atom
# E_form (uncorrected)   0.471 eV per atom



[4]
# SnTe3W (PBE-GGA, optimized geometry)
data_SnTe3W
_chemical_formula_sum 'Sn1 Te3 W1'
_cell_length_a 5.344
_cell_length_b 5.344
_cell_length_c 5.344
_cell_angle_alpha 90.00
_cell_angle_beta 90.00
_cell_angle_gamma 90.00
_space_group_name_H-M_alt 'P m -3 m'
_space_group_IT_number 221
_space_group_name_Hall '-P 4 2 3'
loop_
_atom_site_label
_atom_site_type_symbol
_atom_site_fract_x
_atom_site_fract_y
_atom_site_fract_z
Sn1 Sn 0.000 0.000 0.000
Te1 Te 0.000 0.500 0.500
W1 W 0.500 0.500 0.500
# Relative energy among the computed polymorphs   0.0000 eV per atom
# Total magnetization   0.000 μB/atom
# E_form (uncorrected)   0.565 eV per atom



[5]
# SnTe2W (PBE-GGA, optimized geometry)
data_SnTe2W
_chemical_formula_sum 'Sn3 Te6 W3'
_cell_length_a 3.0902
_cell_length_b 3.0902
_cell_length_c 38.1270
_cell_angle_alpha 90.00
_cell_angle_beta 90.00
_cell_angle_gamma 120.00
_space_group_name_H-M_alt 'R -3 m'
_space_group_IT_number 166
_space_group_name_Hall '-R 3 2"'
loop_
_atom_site_label
_atom_site_type_symbol
_atom_site_fract_x
_atom_site_fract_y
_atom_site_fract_z
Sn1 Sn 0.0000 0.0000 0.0000
Te1 Te 0.0000 0.0000 0.4273
W1 W 0.0000 0.0000 0.5000
# Total magnetization   0.000 μB/atom
# E_form (uncorrected)   0.763 eV per atom



[6]
# Sn3TeW (PBE-GGA, optimized geometry)
data_Sn3TeW
_chemical_formula_sum 'Sn3 Te1 W1'
_cell_length_a 5.540
_cell_length_b 5.540
_cell_length_c 5.540
_cell_angle_alpha 90.00
_cell_angle_beta 90.00
_cell_angle_gamma 90.00
_space_group_name_H-M_alt 'P m -3 m'
_space_group_IT_number 221
_space_group_name_Hall '-P 4 2 3'
loop_
_atom_site_label
_atom_site_type_symbol
_atom_site_fract_x
_atom_site_fract_y
_atom_site_fract_z
Sn1 Sn 0.000 0.000 0.500
Te1 Te 0.000 0.000 0.000
W1 W 0.500 0.500 0.500
# Relative energy among the computed polymorphs   1.5308 eV per atom
# Total magnetization   0.000 μB/atom
# E_form (uncorrected)   2.001 eV per atom



[7]
# SnTeW3 (PBE-GGA, optimized geometry)
data_SnTeW3
_chemical_formula_sum 'Sn1 Te1 W3'
_cell_length_a 4.909
_cell_length_b 4.909
_cell_length_c 4.909
_cell_angle_alpha 90.00
_cell_angle_beta 90.00
_cell_angle_gamma 90.00
_space_group_name_H-M_alt 'P m -3 m'
_space_group_IT_number 221
_space_group_name_Hall '-P 4 2 3'
loop_
_atom_site_label
_atom_site_type_symbol
_atom_site_fract_x
_atom_site_fract_y
_atom_site_fract_z
Sn1 Sn 0.000 0.000 0.000
Te1 Te 0.500 0.500 0.500
W1 W 0.000 0.500 0.500
# Relative energy among the computed polymorphs   0.0000 eV per atom
# Total magnetization   0.000 μB/atom
# E_form (uncorrected)   2.352 eV per atom



[8]
# SnTe3W (PBE-GGA, optimized geometry)
data_SnTe3W
_chemical_formula_sum 'Sn1 Te3 W1'
_cell_length_a 5.483
_cell_length_b 5.483
_cell_length_c 5.483
_cell_angle_alpha 90.00
_cell_angle_beta 90.00
_cell_angle_gamma 90.00
_space_group_name_H-M_alt 'P m -3 m'
_space_group_IT_number 221
_space_group_name_Hall '-P 4 2 3'
loop_
_atom_site_label
_atom_site_type_symbol
_atom_site_fract_x
_atom_site_fract_y
_atom_site_fract_z
Sn1 Sn 0.000 0.000 0.000
Te1 Te 0.000 0.000 0.500
W1 W 0.500 0.500 0.500
# Relative energy among the computed polymorphs   1.2500 eV per atom
# Total magnetization   0.000 μB/atom
# E_form (uncorrected)   1.815 eV per atom